Version P
Material: Ce3Co8Si
Method: DFT, PBE
State: optimized geometry

Geometry as POSCAR:
```
Ce3Co8Si
1.0
5.033 0.000 0.000
-2.516 4.358 0.000
0.000 0.000 15.735
Ce Co Si
6 16 2
direct
0.333 0.667 0.049
0.333 0.667 0.250
0.333 0.667 0.451
0.667 0.333 0.549
0.667 0.333 0.750
0.667 0.333 0.951
0.000 0.000 0.250
0.000 0.000 0.750
0.168 0.335 0.625
0.168 0.335 0.875
0.168 0.832 0.625
0.168 0.832 0.875
0.333 0.667 0.750
0.335 0.168 0.125
0.335 0.168 0.375
0.665 0.832 0.625
0.665 0.832 0.875
0.667 0.333 0.250
0.832 0.168 0.125
0.832 0.168 0.375
0.832 0.665 0.125
0.832 0.665 0.375
0.000 0.000 0.000
0.000 0.000 0.500
```

## Properties
For the calculated volume, the calculation gives 345 Å³/cell. The space-group type is P6_3/mmc. As for the density of states at the Fermi level: 15.6 states/eV/f.u.

Version Q
Material: Ce3Co8Si
Method: DFT, PBE
State: optimized geometry

Geometry as POSCAR:
```
Ce3Co8Si
1.0
5.004 0.000 0.000
-2.502 4.334 0.000
0.000 0.000 15.808
Ce Co Si
6 16 2
direct
0.333 0.667 0.039
0.333 0.667 0.250
0.333 0.667 0.461
0.667 0.333 0.539
0.667 0.333 0.750
0.667 0.333 0.961
0.000 0.000 0.000
0.000 0.000 0.500
0.166 0.331 0.630
0.166 0.331 0.870
0.166 0.834 0.630
0.166 0.834 0.870
0.331 0.166 0.130
0.331 0.166 0.370
0.333 0.667 0.750
0.667 0.333 0.250
0.669 0.834 0.630
0.669 0.834 0.870
0.834 0.166 0.130
0.834 0.166 0.370
0.834 0.669 0.130
0.834 0.669 0.370
0.000 0.000 0.250
0.000 0.000 0.750
```

## Properties
For the calculated volume, the calculation gives 343 Å³/cell. The space-group type is P6_3/mmc. As for the density of states at the Fermi level: 18.7 states/eV/f.u.

Most stable = version P

Version P
Material: Ce3CoSi3
Method: DFT, PBE
State: optimized geometry

Geometry as POSCAR:
```
Ce3CoSi3
1.0
6.067 0.000 0.000
0.000 5.611 0.000
-0.742 0.000 8.668
Ce Co Si
6 2 6
direct
0.171 0.250 0.301
0.280 0.250 0.947
0.288 0.750 0.614
0.712 0.250 0.386
0.720 0.750 0.053
0.829 0.750 0.699
0.256 0.750 0.215
0.744 0.250 0.785
0.046 0.250 0.643
0.198 0.750 0.955
0.436 0.250 0.631
0.564 0.750 0.369
0.802 0.250 0.045
0.954 0.750 0.357
```

## Properties
For the calculated volume, the calculation gives 295 Å³/cell. The space-group type is P2_1/m. As for the density of states at the Fermi level: 11.8 states/eV/f.u.

Version Q
Material: Ce3CoSi3
Method: DFT, PBE
State: optimized geometry

Geometry as POSCAR:
```
Ce3CoSi3
1.0
5.451 -2.037 0.000
5.451 2.037 0.000
-3.994 0.000 12.916
Ce Co Si
6 2 6
direct
0.020 0.020 0.395
0.114 0.114 0.916
0.249 0.249 0.232
0.751 0.751 0.768
0.886 0.886 0.084
0.980 0.980 0.605
0.267 0.267 0.620
0.733 0.733 0.380
0.316 0.316 0.460
0.403 0.403 0.927
0.457 0.457 0.761
0.543 0.543 0.239
0.597 0.597 0.073
0.684 0.684 0.540
```

## Properties
For the calculated volume, the calculation gives 287 Å³/cell. The space-group type is C2/m. As for the density of states at the Fermi level: 13.4 states/eV/f.u.

Most stable = version Q